1.
This record from Alexandria via LeMat-Bulk describes Ba2NiPt after structural relaxation. The functional is PBEsol.

Unit cell a=3.760 b=3.760 c=7.520 alpha=90.00 beta=90.00 gamma=90.00
Element x y z (fractional)
1 Pt 0.500 0.500 0.500
2 Ba 0.000 0.000 0.252
3 Ba 0.000 0.000 0.748
4 Ni 0.500 0.500 0.000

Results
magnetic moment: 0.119 μB/f.u.
energy of formation from the pure elements: -0.112 eV per atom
SG: P4/mmm (123)

2.
This record from Alexandria via LeMat-Bulk describes Ba2NiPt after structural relaxation. The functional is PBEsol.

Unit cell a=4.407 b=4.407 c=6.207 alpha=110.79 beta=110.79 gamma=90.00
Element x y z (fractional)
1 Ba 0.000 0.000 0.000
2 Ba 0.750 0.250 0.500
3 Ni 0.500 0.500 0.000
4 Pt 0.250 0.750 0.500

Results
magnetic moment: 0.000 μB/f.u.
energy of formation from the pure elements: 0.037 eV per atom
SG: I-4m2 (119)

3.
This record from Alexandria via LeMat-Bulk describes BaNiPt after structural relaxation. The functional is PBEsol.

Unit cell a=3.473 b=3.454 c=5.873 alpha=107.10 beta=107.20 gamma=90.00
Element x y z (fractional)
1 Pt 0.278 0.278 0.556
2 Ba 0.996 0.996 0.992
3 Ni 0.726 0.726 0.452

Results
magnetic moment: 0.001 μB/f.u.
energy of formation from the pure elements: -0.042 eV per atom
SG: Imm2 (44)

4.
This record from Alexandria via LeMat-Bulk describes Ba2ReNi after structural relaxation. The functional is PBEsol.

Unit cell a=3.430 b=3.430 c=8.537 alpha=90.00 beta=90.00 gamma=90.00
Element x y z (fractional)
1 Ba 0.000 0.000 0.764
2 Ba 0.000 0.000 0.236
3 Ni 0.500 0.500 0.000
4 Re 0.500 0.500 0.500

Results
magnetic moment: 1.947 μB/f.u.
energy of formation from the pure elements: 1.155 eV per atom
SG: P4/mmm (123)

5.
This record from Alexandria via LeMat-Bulk describes BaReNi2 after structural relaxation. The functional is PBEsol.

Unit cell a=4.639 b=4.639 c=4.639 alpha=60.00 beta=60.00 gamma=60.00
Element x y z (fractional)
1 Ni 0.250 0.250 0.250
2 Ni 0.750 0.750 0.750
3 Ba 0.000 0.000 0.000
4 Re 0.500 0.500 0.500

Results
magnetic moment: 3.513 μB/f.u.
energy of formation from the pure elements: 1.172 eV per atom
SG: Fm-3m (225)

6.
This record from Alexandria via LeMat-Bulk describes BaReNi2 after structural relaxation. The functional is PBEsol.

Unit cell a=4.097 b=4.920 c=4.920 alpha=69.84 beta=65.39 gamma=65.39
Element x y z (fractional)
1 Ba 0.000 0.500 0.500
2 Re 0.500 0.000 0.000
3 Ni 0.824 0.176 0.176
4 Ni 0.176 0.824 0.824

Results
magnetic moment: 0.519 μB/f.u.
energy of formation from the pure elements: 0.995 eV per atom
SG: Immm (71)

7.
This record from Alexandria via LeMat-Bulk describes BaReNi2 after structural relaxation. The functional is PBEsol.

Unit cell a=2.896 b=3.351 c=7.258 alpha=90.00 beta=90.00 gamma=90.00
Element x y z (fractional)
1 Ba 0.500 0.500 0.500
2 Ni 0.000 0.000 0.834
3 Ni 0.000 0.000 0.166
4 Re 0.500 0.500 0.000

Results
magnetic moment: 0.000 μB/f.u.
energy of formation from the pure elements: 0.457 eV per atom
SG: Pmmm (47)

8.
This record from Alexandria via LeMat-Bulk describes Ba2NiRh after structural relaxation. The functional is PBEsol.

Unit cell a=3.517 b=3.517 c=8.933 alpha=90.00 beta=90.00 gamma=90.00
Element x y z (fractional)
1 Rh 0.500 0.500 0.660
2 Ba 0.500 0.500 0.347
3 Ba 0.000 0.000 0.903
4 Ni 0.000 0.000 0.590

Results
magnetic moment: 0.482 μB/f.u.
energy of formation from the pure elements: 0.224 eV per atom
SG: P4mm (99)